1.
Bi3IrAu: relaxed, PBE.

a b c (Å): 5.3400 5.3400 5.3400
angles (deg): 90.00 90.00 90.00
With the nearest neighbours (Å) after each atom.
Fractional positions:
Au1 0.5000 0.5000 0.5000  12 Bi 3.78
Bi1 0.0000 0.0000 0.5000  2 Ir 2.67
Bi2 0.5000 0.0000 0.0000  2 Ir 2.67
Bi3 0.0000 0.5000 0.0000  2 Ir 2.67
Ir1 0.0000 0.0000 0.0000  6 Bi 2.67

Properties
* ΔH_f (0 K): 0.579 eV per atom

***

2.
Bi8IrAu2: relaxed, PBE.

a b c (Å): 7.0039 6.9335 6.9335
angles (deg): 82.54 83.55 83.55
With the nearest neighbours (Å) after each atom.
Fractional positions:
Bi1 0.0703 0.7264 0.7264  1 Ir 2.82, 1 Au 2.94
Bi2 0.6680 0.6207 0.6207  1 Au 2.82
Bi3 0.7413 0.7203 0.1366  1 Ir 2.81, 1 Au 3.01
Bi4 0.7413 0.1366 0.7203  1 Ir 2.81, 1 Au 3.01
Bi5 0.2587 0.2797 0.8634  1 Ir 2.81, 1 Au 3.01
Bi6 0.3320 0.3793 0.3793  1 Au 2.82
Bi7 0.9297 0.2736 0.2736  1 Ir 2.82, 1 Au 2.94
Bi8 0.2587 0.8634 0.2797  1 Ir 2.81, 1 Au 3.01
Au1 0.5859 0.1423 0.1423  6 Bi 2.82-3.15, 1 Ir 3.05
Au2 0.4141 0.8577 0.8577  6 Bi 2.82-3.15, 1 Ir 3.05
Ir1 0.0000 0.0000 0.0000  6 Bi 2.81-2.82, 2 Au 3.05

Properties
* ΔH_f (0 K): 0.056 eV per atom

***

3.
Bi2IrAu2: relaxed, PBE.

a b c (Å): 7.2669 7.2669 4.2547
angles (deg): 90.00 90.00 90.00
With the nearest neighbours (Å) after each atom.
Fractional positions:
Bi1 0.6766 0.8234 0.5000  6 Au 2.86-3.13
Bi2 0.3234 0.1766 0.5000  6 Au 2.86-3.13
Bi3 0.1766 0.6766 0.5000  6 Au 2.86-3.13
Bi4 0.8234 0.3234 0.5000  6 Au 2.86-3.13
Ir1 0.5000 0.5000 0.0000  4 Au 2.82
Ir2 0.0000 0.0000 0.0000  4 Au 2.82
Au1 0.3633 0.8633 0.0000  1 Au 2.81, 2 Ir 2.82, 6 Bi 2.86-3.13
Au2 0.1367 0.3633 0.0000  1 Au 2.81, 2 Ir 2.82, 6 Bi 2.86-3.13
Au3 0.6367 0.1367 0.0000  1 Au 2.81, 2 Ir 2.82, 6 Bi 2.86-3.13
Au4 0.8633 0.6367 0.0000  1 Au 2.81, 2 Ir 2.82, 6 Bi 2.86-3.13

Properties
* ΔH_f (0 K): 0.358 eV per atom

***

4.
BiIr2Au: relaxed, PBE.

a b c (Å): 4.1137 4.1137 10.0670
angles (deg): 78.21 78.21 90.00
With the nearest neighbours (Å) after each atom.
Fractional positions:
Au1 0.2500 0.7500 0.5000  4 Ir 2.72, 4 Bi 2.91
Au2 0.5000 0.5000 0.0000  4 Ir 2.72, 4 Bi 2.91
Ir1 0.3750 0.4436 0.7500  2 Ir 2.54, 2 Au 2.72
Ir2 0.1936 0.6250 0.2500  2 Ir 2.54, 2 Au 2.72
Ir3 0.8750 0.8064 0.7500  2 Ir 2.54, 2 Au 2.72
Ir4 0.5564 0.1250 0.2500  2 Ir 2.54, 2 Au 2.72
Bi1 0.0000 0.0000 0.0000  4 Au 2.91, 4 Ir 2.93
Bi2 0.7500 0.2500 0.5000  4 Au 2.91, 4 Ir 2.93

Properties
* ΔH_f (0 K): 0.586 eV per atom

***

5.
La2BiIrAu: relaxed, PBE.

a b c (Å): 5.7061 5.2258 5.7061
angles (deg): 90.00 90.00 90.00
With the nearest neighbours (Å) after each atom.
Fractional positions:
Bi1 0.0000 0.5000 0.0000  2 Au 2.61
La1 0.5000 0.0000 0.0000  2 Au 2.85
La2 0.0000 0.0000 0.5000  2 Au 2.85
Ir1 0.5000 0.5000 0.5000  8 La 3.87, 4 Bi 4.03
Au1 0.0000 0.0000 0.0000  2 Bi 2.61, 4 La 2.85

Properties
* ΔH_f (0 K): 0.462 eV per atom

***

6.
BiIrAuO6: relaxed, PBE.

a b c (Å): 5.5728 5.5728 8.9399
angles (deg): 90.00 90.00 120.00
With the nearest neighbours (Å) after each atom.
Fractional positions:
O1 0.0384 0.6555 0.8733  1 Ir 1.95
O2 0.3445 0.3829 0.8733  1 Ir 1.95
O3 0.0384 0.3829 0.6267  1 Ir 1.95
O4 0.6171 0.6555 0.6267  1 Ir 1.95
O5 0.3445 0.9616 0.6267  1 Ir 1.95
O6 0.9616 0.6171 0.3733  1 Ir 1.95
O7 0.9616 0.3445 0.1267  1 Ir 1.95
O8 0.6555 0.0384 0.3733  1 Ir 1.95
O9 0.6171 0.9616 0.8733  1 Ir 1.95
O10 0.3829 0.0384 0.1267  1 Ir 1.95
O11 0.6555 0.6171 0.1267  1 Ir 1.95
O12 0.3829 0.3445 0.3733  1 Ir 1.95
Bi1 0.3333 0.6667 0.2500  6 O 2.24
Bi2 0.6667 0.3333 0.7500  6 O 2.24
Ir1 0.6667 0.3333 0.2500  6 O 1.95
Ir2 0.3333 0.6667 0.7500  6 O 1.95
Au1 0.0000 0.0000 0.5000  6 O 2.33
Au2 0.0000 0.0000 0.0000  6 O 2.33

Properties
* uncorrected formation energy: -0.5015 eV per atom